(1)
Compound: Sr2MgBr
Source: the Alexandria database
Functional: PBE-GGA
Structure: optimized geometry

Properties
offset from the most stable computed form: 218 meV/atom
calculated total energy: -2.16 eV/atom
space group: I-4m2, No. 119
E_form (uncorrected): -0.504 eV/atom

Cell: 7.649 7.649 7.649 Å, 143.45 143.45 52.64°
Fractional positions:
Sr (0.250, 0.750, 0.500)
Sr (0.000, 0.000, 0.000)
Br (0.500, 0.500, 0.000)
Mg (0.750, 0.250, 0.500)


(2)
Compound: KGa2S3
Source: the Alexandria database
Functional: PBE-GGA
Structure: optimized geometry

Properties
calculated total energy: -3.99 eV/atom
space group: C2/m, No. 12
E_form (uncorrected): -0.731 eV/atom

Cell: 4.365 7.404 11.506 Å, 112.03 100.94 90.00°
Fractional positions:
S (0.228, 0.281, 0.455)
S (0.404, 0.646, 0.809)
S (0.596, 0.354, 0.191)
S (0.772, 0.719, 0.545)
S (0.948, 0.120, 0.895)
S (0.052, 0.880, 0.105)
K (0.640, 0.822, 0.280)
K (0.360, 0.178, 0.720)
Ga (0.299, 0.627, 0.598)
Ga (0.701, 0.373, 0.402)
Ga (0.943, 0.804, 0.887)
Ga (0.057, 0.196, 0.113)


(3)
Compound: TbSiRh
Source: the Alexandria database
Functional: PBE-GGA
Structure: optimized geometry

Properties
calculated total energy: -6.67 eV/atom
space group: Cmcm, No. 63
E_form (uncorrected): -0.871 eV/atom

Cell: 5.475 5.475 5.305 Å, 90.00 90.00 136.26°
Fractional positions:
Rh (0.425, 0.575, 0.250)
Rh (0.575, 0.425, 0.750)
Si (0.000, 0.000, 0.000)
Si (0.000, 0.000, 0.500)
Tb (0.288, 0.712, 0.750)
Tb (0.712, 0.288, 0.250)


Ordered total moment results: 0.0 0.0 0.0; unit Bohr magnetons per cell.
Ordered theoretical density results: 2.9 2.7 8.8; unit g/cm3.